Below is a relaxed structure of SrGaCu2B, with properties calculated at the PBE level. Values from VASP.

Final energy   -2.168 eV/atom
N(E_F)   0.8139 states/eV/atom
Energy of formation   1.748 eV per atom
Space-group type   P4/mmm

Geometry as Quantum ESPRESSO input:
```
&SYSTEM
  ibrav = 0, nat = 5, ntyp = 4
/
ATOMIC_SPECIES
Sr 87.62 Sr.upf
Ga 69.72 Ga.upf
Cu 63.55 Cu.upf
B 10.81 B.upf
CELL_PARAMETERS angstrom
5.4979 0.0000 0.0000
0.0000 5.4979 0.0000
0.0000 0.0000 5.0759
ATOMIC_POSITIONS crystal
Sr 0.0000 0.0000 0.0000
Ga 0.5000 0.5000 0.5000
Cu 0.0000 0.5000 0.0000
Cu 0.5000 0.0000 0.0000
B 0.0000 0.0000 0.5000
```



Below is a relaxed structure of CuGeB, with properties calculated at the PBE level. Values from VASP.

Final energy   -4.869 eV/atom
N(E_F)   0.2350 states/eV/atom
Energy of formation   0.261 eV per atom
Space-group type   P-1

Geometry as Quantum ESPRESSO input:
```
&SYSTEM
  ibrav = 0, nat = 6, ntyp = 3
/
ATOMIC_SPECIES
Cu 63.55 Cu.upf
Ge 72.64 Ge.upf
B 10.81 B.upf
CELL_PARAMETERS angstrom
3.9275 0.0000 0.0000
1.2816 3.7304 0.0000
1.0701 -0.1579 6.1266
ATOMIC_POSITIONS crystal
Cu 0.1917 0.1938 0.0030
Cu 0.8083 0.8062 0.9970
Ge 0.2000 0.6850 0.4231
Ge 0.8000 0.3150 0.5769
B 0.3287 0.6511 0.0815
B 0.6713 0.3489 0.9185
```



Below is a relaxed structure of CuGeB, with properties calculated at the PBE level. Values from VASP.

Final energy   -4.819 eV/atom
N(E_F)   0.3496 states/eV/atom
Energy of formation   0.311 eV per atom
Space-group type   P1

Geometry as Quantum ESPRESSO input:
```
&SYSTEM
  ibrav = 0, nat = 6, ntyp = 3
/
ATOMIC_SPECIES
Cu 63.55 Cu.upf
Ge 72.64 Ge.upf
B 10.81 B.upf
CELL_PARAMETERS angstrom
2.9981 0.0000 0.0000
1.4605 3.5639 0.0000
1.4927 0.7419 7.7453
ATOMIC_POSITIONS crystal
Cu 0.0000 0.0000 0.0000
Cu 0.2086 0.0668 0.4962
Ge 0.6295 0.5378 0.1849
Ge 0.7726 0.6211 0.8180
B 0.5053 0.5036 0.4664
B 0.9077 0.6259 0.5399
```



Below is a relaxed structure of CuGeB, with properties calculated at the PBE level. Values from VASP.

Final energy   -4.405 eV/atom
N(E_F)   0.2955 states/eV/atom
Energy of formation   0.725 eV per atom
Space-group type   P4/nmm

Geometry as Quantum ESPRESSO input:
```
&SYSTEM
  ibrav = 0, nat = 6, ntyp = 3
/
ATOMIC_SPECIES
Cu 63.55 Cu.upf
Ge 72.64 Ge.upf
B 10.81 B.upf
CELL_PARAMETERS angstrom
3.8421 0.0000 0.0000
0.0000 3.8421 0.0000
0.0000 0.0000 5.1952
ATOMIC_POSITIONS crystal
Cu 0.2500 0.2500 0.2188
Cu 0.7500 0.7500 0.7812
Ge 0.2500 0.2500 0.7061
Ge 0.7500 0.7500 0.2939
B 0.2500 0.7500 0.0000
B 0.7500 0.2500 0.0000
```



Below is a relaxed structure of CuGeB, with properties calculated at the PBE level. Values from VASP.

Final energy   -4.786 eV/atom
N(E_F)   0.1386 states/eV/atom
Energy of formation   0.344 eV per atom
Space-group type   Pnma

Geometry as Quantum ESPRESSO input:
```
&SYSTEM
  ibrav = 0, nat = 12, ntyp = 3
/
ATOMIC_SPECIES
Cu 63.55 Cu.upf
Ge 72.64 Ge.upf
B 10.81 B.upf
CELL_PARAMETERS angstrom
7.8803 0.0000 0.0000
0.0000 3.5628 0.0000
0.0000 0.0000 6.1578
ATOMIC_POSITIONS crystal
Cu 0.0218 0.2500 0.1795
Cu 0.4782 0.7500 0.6795
Cu 0.5218 0.2500 0.3205
Cu 0.9782 0.7500 0.8205
Ge 0.2367 0.2500 0.5174
Ge 0.2633 0.7500 0.0174
Ge 0.7367 0.2500 0.9826
Ge 0.7633 0.7500 0.4826
B 0.2164 0.7500 0.6831
B 0.2836 0.2500 0.1831
B 0.7164 0.7500 0.8169
B 0.7836 0.2500 0.3169
```



Below is a relaxed structure of Cu2GeB, with properties calculated at the PBE level. Values from VASP.

Final energy   -4.320 eV/atom
N(E_F)   0.3252 states/eV/atom
Energy of formation   0.552 eV per atom
Space-group type   I-42d

Geometry as Quantum ESPRESSO input:
```
&SYSTEM
  ibrav = 0, nat = 8, ntyp = 3
/
ATOMIC_SPECIES
Cu 63.55 Cu.upf
Ge 72.64 Ge.upf
B 10.81 B.upf
CELL_PARAMETERS angstrom
-1.8349 1.8349 7.6079
1.8349 -1.8349 7.6079
1.8349 1.8349 -7.6079
ATOMIC_POSITIONS crystal
Cu 0.0851 0.6250 0.9601
Cu 0.3750 0.3351 0.4601
Cu 0.6649 0.1250 0.0399
Cu 0.8750 0.9149 0.5399
Ge 0.2500 0.7500 0.5000
Ge 0.5000 0.5000 0.0000
B 0.0000 0.0000 0.0000
B 0.7500 0.2500 0.5000
```